No. 1
This record from the Alexandria database describes an optimized crystal structure of BeMo2PN. The functional is PBE.

Uncorrected energy in eV/f.u.: -36.6
Crystal system: tetragonal
Volume in Å³/atom: 11.87
Total magnetic moment in μB per cell: 0.00

a = 4.411 Å, b = 4.411 Å, c = 3.049 Å
α = 90.00°, β = 90.00°, γ = 90.00°
Atoms (fractional coordinates):
Be 0.000 0.000 0.000
Mo 0.000 0.500 0.000
Mo 0.500 0.000 0.000
P 0.500 0.500 0.500
N 0.000 0.000 0.500



No. 2
This record from the Alexandria database describes an optimized crystal structure of Pa2BeMoN6. The functional is PBE.

Uncorrected energy in eV/f.u.: -91.8
Crystal system: tetragonal
Volume in Å³/atom: 12.57
Total magnetic moment in μB per cell: 0.00

a = 5.162 Å, b = 5.162 Å, c = 4.719 Å
α = 90.00°, β = 90.00°, γ = 90.00°
Atoms (fractional coordinates):
Pa 0.000 0.500 0.000
Pa 0.500 0.000 0.000
Be 0.000 0.000 0.563
Mo 0.500 0.500 0.581
N 0.000 0.000 0.205
N 0.247 0.247 0.723
N 0.247 0.753 0.723
N 0.500 0.500 0.190
N 0.753 0.247 0.723
N 0.753 0.753 0.723



No. 3
This record from the Alexandria database describes an optimized crystal structure of BeMoPt2N. The functional is PBE.

Uncorrected energy in eV/f.u.: -32.1
Crystal system: tetragonal
Volume in Å³/atom: 13.58
Total magnetic moment in μB per cell: 0.00

a = 4.831 Å, b = 4.831 Å, c = 2.908 Å
α = 90.00°, β = 90.00°, γ = 90.00°
Atoms (fractional coordinates):
Be 0.000 0.000 0.000
Mo 0.500 0.500 0.500
Pt 0.000 0.500 0.000
Pt 0.500 0.000 0.000
N 0.000 0.000 0.500



No. 4
This record from the Alexandria database describes an optimized crystal structure of Pu2BeMoN5. The functional is PBE.

Uncorrected energy in eV/f.u.: -91.9
Crystal system: orthorhombic
Volume in Å³/atom: 10.92
Total magnetic moment in μB per cell: 0.57

a = 6.650 Å, b = 6.650 Å, c = 9.653 Å
α = 90.00°, β = 90.00°, γ = 152.60°
Atoms (fractional coordinates):
Pu 0.115 0.885 0.500
Pu 0.133 0.867 0.115
Pu 0.867 0.133 0.615
Pu 0.885 0.115 0.000
Be 0.500 0.500 0.288
Be 0.500 0.500 0.788
Mo 0.198 0.802 0.816
Mo 0.802 0.198 0.316
N 0.040 0.960 0.849
N 0.298 0.702 0.463
N 0.309 0.691 0.168
N 0.358 0.642 0.818
N 0.494 0.506 0.603
N 0.506 0.494 0.103
N 0.642 0.358 0.318
N 0.691 0.309 0.668
N 0.702 0.298 0.963
N 0.960 0.040 0.349



No. 5
This record from the Alexandria database describes an optimized crystal structure of Be2MoRuN. The functional is PBE.

Uncorrected energy in eV/f.u.: -34.4
Crystal system: tetragonal
Volume in Å³/atom: 11.06
Total magnetic moment in μB per cell: 0.00

a = 3.534 Å, b = 3.534 Å, c = 4.428 Å
α = 90.00°, β = 90.00°, γ = 90.00°
Atoms (fractional coordinates):
Be 0.000 0.500 0.000
Be 0.500 0.000 0.000
Mo 0.000 0.000 0.500
Ru 0.500 0.500 0.500
N 0.500 0.500 0.000



No. 6
This record from the Alexandria database describes an optimized crystal structure of BeMoS2N. The functional is PBE.

Uncorrected energy in eV/f.u.: -28.2
Crystal system: tetragonal
Volume in Å³/atom: 12.50
Total magnetic moment in μB per cell: 0.00
E above lowest polymorph in eV/atom: 0.059

a = 4.479 Å, b = 4.479 Å, c = 3.117 Å
α = 90.00°, β = 90.00°, γ = 90.00°
Atoms (fractional coordinates):
Be 0.000 0.000 0.000
Mo 0.500 0.500 0.500
S 0.000 0.500 0.000
S 0.500 0.000 0.000
N 0.000 0.000 0.500



No. 7
This record from the Alexandria database describes an optimized crystal structure of BeMoS2N. The functional is PBE.

Uncorrected energy in eV/f.u.: -28.5
Crystal system: tetragonal
Volume in Å³/atom: 17.32
Total magnetic moment in μB per cell: 0.00
E above lowest polymorph in eV/atom: 0.000

a = 4.799 Å, b = 4.799 Å, c = 3.760 Å
α = 90.00°, β = 90.00°, γ = 90.00°
Atoms (fractional coordinates):
Be 0.000 0.000 0.000
Mo 0.500 0.500 0.500
S 0.000 0.500 0.500
S 0.500 0.000 0.500
N 0.500 0.500 0.000



No. 8
This record from the Alexandria database describes an optimized crystal structure of BeSbMoN2. The functional is PBE.

Uncorrected energy in eV/f.u.: -24.5
Crystal system: tetragonal
Volume in Å³/atom: 17.79
Total magnetic moment in μB per cell: 4.05

a = 3.980 Å, b = 3.980 Å, c = 5.617 Å
α = 90.00°, β = 90.00°, γ = 90.00°
Atoms (fractional coordinates):
Be 0.000 0.000 0.000
Sb 0.500 0.500 0.500
Mo 0.500 0.500 0.000
N 0.000 0.500 0.500
N 0.500 0.000 0.500